1.
Material: HgMo2Pt
Method: DFT, SCAN
State: single point on PBEsol structure

Results
polymorph energy (0 for the lowest one): 8.0 kJ per mole of atoms
ΔH_f (0 K): 0.216 eV/atom

Lattice parameters (Å, degrees): 3.929 4.096 7.993 90.00 90.00 90.00
Space group Imm2 (No. 44)
Unique sites:
Hg (0.000, 0.000, 0.000) x2
Mo (0.000, 0.000, 0.485) x2
Mo (0.000, 0.500, 0.756) x2
Pt (0.000, 0.500, 0.246) x2

2.
Material: AgHPt3
Method: DFT, SCAN
State: single point on PBEsol structure

Results
polymorph energy (0 for the lowest one): 206.9 kJ per mole of atoms

Lattice parameters (Å, degrees): 4.824 4.824 4.824 90.00 90.00 90.00
Space group Pm-3m (No. 221)
Unique sites:
Ag (0.000, 0.000, 0.000) x1
H (0.500, 0.500, 0.500) x1
Pt (0.000, 0.000, 0.500) x3

3.
Material: Mn3HgBi
Method: DFT, SCAN
State: single point on PBEsol structure

Results
ΔH_f (0 K): 0.722 eV/atom

Lattice parameters (Å, degrees): 5.085 5.085 5.085 90.00 90.00 90.00
Space group Pm-3m (No. 221)
Unique sites:
Mn (0.000, 0.000, 0.500) x3
Hg (0.500, 0.500, 0.500) x1
Bi (0.000, 0.000, 0.000) x1

4.
Material: Cd2FeOs
Method: DFT, SCAN
State: single point on PBEsol structure

Results
polymorph energy (0 for the lowest one): 0.0 kJ per mole of atoms
ΔH_f (0 K): 0.475 eV/atom

Lattice parameters (Å, degrees): 3.868 3.868 8.473 90.00 90.00 90.00
Space group I4/mmm (No. 139)
Unique sites:
Cd (0.000, 0.500, 0.250) x4
Fe (0.000, 0.000, 0.000) x2
Os (0.000, 0.000, 0.500) x2

Respective V values: 16.08; 22.46; 26.30; 15.84 A^3/atom.